No. 1
The following is a PBE calculation of NaTe2H after structural relaxation, from Alexandria.

Output
The polymorph energy (0 for the lowest one) comes out at 236 kJ/mol of formula units.

```
4
Lattice="3.348 0.983 8.694 2.225 -2.257 8.815 5.334 -1.565 7.540" Properties=species:S:1:pos:R:3 pbc="T T T"
Te 1.186 -0.309 2.723
Te 9.721 -2.531 22.326
H 5.453 -1.420 12.525
Na 0.000 0.000 0.000
```

---

No. 2
The following is a PBE calculation of SbOsRu2 after structural relaxation, from Alexandria.

Output
For the formation energy from raw total energies, the calculation gives 30 kJ per mole of atoms.

```
4
Lattice="-1.478 0.226 4.520 -0.235 -2.391 4.110 4.031 1.594 2.049" Properties=species:S:1:pos:R:3 pbc="T T T"
Os 0.579 -0.143 2.670
Sb 1.738 -0.428 8.009
Ru -1.621 -2.117 8.608
Ru 1.066 -0.332 5.361
```

---

No. 3
The following is a PBE calculation of LiGeB after structural relaxation, from Alexandria.

Output
The calculated formation energy comes out at 0.09 eV per atom.

```
6
Lattice="8.085 0.000 0.000 0.000 3.560 0.000 4.042 1.780 2.562" Properties=species:S:1:pos:R:3 pbc="T T T"
B 7.185 3.560 2.251
B 8.985 3.560 2.251
Li 4.042 3.560 0.894
Li 8.085 3.560 0.168
Ge 9.671 1.780 1.163
Ge 6.498 1.780 1.163
```

---

No. 4
The following is a PBE calculation of TeP2Ir after structural relaxation, from Alexandria.

Output
For the formation energy from raw total energies, the calculation gives 68 kJ per mole of atoms.

```
4
Lattice="3.088 0.000 0.000 0.000 4.768 0.000 0.000 0.000 4.627" Properties=species:S:1:pos:R:3 pbc="T T T"
Te 1.544 0.000 2.313
P 0.000 0.000 0.000
P 1.544 2.384 0.000
Ir 0.000 2.384 2.313
```

---

No. 5
The following is a PBE calculation of MoH4Ru3 after structural relaxation, from Alexandria.

Output
For the electronic total energy, the calculation gives -51.8 eV per cell.

```
8
Lattice="-3.540 0.825 1.733 -1.918 -1.659 -3.128 0.073 -3.575 1.851" Properties=species:S:1:pos:R:3 pbc="T T T"
Mo 0.000 0.000 0.000
Ru -2.729 -0.417 -0.698
Ru -1.734 -1.375 1.792
Ru -0.922 -2.617 -0.638
H -2.692 -2.205 0.228
H -0.959 -0.829 -1.564
H 0.037 -1.788 0.926
H -1.770 0.412 0.866
```

---

No. 6
The following is a PBE calculation of Ho5CdCu2 after structural relaxation, from Alexandria.

Output
The calculated formation energy comes out at -0.18 eV per atom.

```
16
Lattice="7.123 0.000 -3.363 -1.587 6.944 -3.363 -0.347 -0.436 8.491" Properties=species:S:1:pos:R:3 pbc="T T T"
Cu 1.265 6.054 -4.182
Cu 0.323 2.582 -1.681
Cu 5.213 4.362 -5.044
Cu 4.271 0.890 -2.543
Ho 2.768 3.472 -3.363
Ho 4.028 6.708 -3.597
Ho 2.315 4.560 2.000
Ho 4.429 1.087 3.058
Ho 1.161 -0.200 5.363
Ho 0.760 5.421 -1.293
Ho 0.000 0.000 0.000
Ho 2.874 1.949 -0.235
Ho -0.953 3.272 4.305
Ho 6.142 3.236 -2.539
Cd 1.210 1.518 2.564
Cd 3.978 4.990 -0.799
```

---

No. 7
The following is a PBE calculation of RbCd2InHg after structural relaxation, from Alexandria.

Output
The calculated formation energy comes out at -0.10 eV per atom. The polymorph energy (0 for the lowest one) comes out at 0 kJ/mol of formula units.

```
5
Lattice="5.006 0.000 0.000 0.000 4.992 0.000 -2.503 -2.496 6.327" Properties=species:S:1:pos:R:3 pbc="T T T"
Cd 2.503 0.000 2.406
Cd 0.000 0.000 0.782
Rb 0.000 0.000 5.563
In 0.000 2.496 2.435
Hg 2.503 2.496 4.152
```

---

No. 8
The following is a PBE calculation of FeCo2As after structural relaxation, from Alexandria.

Output
The calculated formation energy comes out at 0.16 eV per atom.

```
4
Lattice="7.713 -0.015 -0.009 7.220 2.714 -0.009 7.220 1.305 2.380" Properties=species:S:1:pos:R:3 pbc="T T T"
Co 11.081 2.003 1.182
Co 22.147 4.003 2.362
Fe 5.538 1.001 0.591
As 16.614 3.003 1.772
```

---

No. 9
The following is a PBE calculation of CdInSi4 after structural relaxation, from Alexandria.

Output
For the formation energy from raw total energies, the calculation gives 47 kJ per mole of atoms.

```
6
Lattice="3.766 -2.484 -2.964 0.956 -5.265 0.711 -1.460 -3.545 -3.800" Properties=species:S:1:pos:R:3 pbc="T T T"
Si 1.562 -4.444 -4.122
Si 0.177 -5.814 -2.311
Si 2.752 -5.291 -1.900
Si 2.033 -7.038 -3.772
Cd 0.816 -2.823 -1.513
In 0.000 0.000 0.000
```

---

No. 10
The following is a PBE calculation of ZnIn2Ir after structural relaxation, from Alexandria.

Output
The calculated formation energy comes out at -0.04 eV per atom.

```
4
Lattice="-1.134 2.123 -3.551 -1.463 -2.843 -1.232 -5.166 -0.074 1.605" Properties=species:S:1:pos:R:3 pbc="T T T"
In -6.249 -2.830 0.303
In -2.598 0.245 -1.615
Zn -5.349 -0.569 -1.223
Ir -3.510 -2.017 -0.085
```

---

No. 11
The following is a PBE calculation of BaSr2MgP after structural relaxation, from Alexandria.

Output
The calculated formation energy comes out at -0.43 eV per atom.

```
5
Lattice="-4.586 -0.532 -3.691 3.618 -2.050 -4.200 -0.965 -5.904 2.050" Properties=species:S:1:pos:R:3 pbc="T T T"
Ba -0.483 -2.952 1.025
Sr 1.809 -1.025 -2.100
Sr -2.293 -0.266 -1.845
Mg -0.967 -4.243 -2.920
P 0.000 0.000 0.000
```

---

No. 12
The following is a PBE calculation of SrAcNiS4 after structural relaxation, from Alexandria.

Output
For the formation energy from raw total energies, the calculation gives -136 kJ per mole of atoms.

```
14
Lattice="-0.341 1.371 6.292 -4.330 -4.840 0.820 5.710 -5.416 -1.815" Properties=species:S:1:pos:R:3 pbc="T T T"
Ac 0.203 -2.308 0.514
Ac 0.836 -6.577 4.783
S 0.519 -4.443 2.649
S 1.280 -7.497 1.703
S -0.242 -1.388 3.594
S 2.855 -2.708 -0.907
S 0.690 -5.128 -0.497
S -2.314 -4.428 0.839
S 3.352 -4.457 4.458
S 2.684 -2.022 2.239
Ni 1.510 -2.884 4.015
Ni -0.472 -6.001 1.282
Sr -2.191 -3.993 4.056
Sr 3.229 -4.892 1.241
```